! InHBr2, PBEsol geometry, DFT meta-GGA SCAN; values from VASP
! Space-group type: R-3m, No. 166
! Uncorrected energy in eV/atom: -18.59
&SYSTEM
  ibrav = 0, nat = 4, ntyp = 3
/
ATOMIC_SPECIES
Br 79.90 Br.upf
In 114.82 In.upf
H 1.01 H.upf
ATOMIC_POSITIONS crystal
Br 0.1123 0.1123 0.6631
Br 0.8877 0.8877 0.3369
In 0.0000 0.0000 0.0000
H 0.5000 0.5000 0.5000
CELL_PARAMETERS angstrom
-2.3256 -1.7311 1.7872
0.8242 -2.9773 1.4337
1.8031 2.3309 7.8490